This record from Alexandria describes a relaxed Tl3V2AgF9 crystal. The functional is PBE with a Hubbard U.

```
Tl3V2AgF9
1.0
6.105 0.000 0.000
-3.052 5.287 0.000
0.000 0.000 7.701
Tl V Ag F
3 2 1 9
Direct
0.000 0.000 0.000
0.333 0.667 0.637
0.667 0.333 0.363
0.333 0.667 0.148
0.667 0.333 0.852
0.000 0.000 0.500
0.000 0.500 0.000
0.180 0.360 0.302
0.180 0.820 0.302
0.360 0.180 0.698
0.500 0.000 0.000
0.500 0.500 0.000
0.640 0.820 0.302
0.820 0.180 0.698
0.820 0.640 0.698
```

## Properties
**Raw total energy**: -4.94 eV/atom